This record from Alexandria describes Sm2EuH after structural relaxation. The functional is PBE.

It has space group R-3m (No. 166, hexagonal axes), with a = 3.7335 Å, b = 3.7335 Å, c = 26.9158 Å, α = 90.00°, β = 90.00° and γ = 120.00°. The asymmetric unit holds Sm at (0.0000, 0.0000, 0.2175), Eu at (0.0000, 0.0000, 0.0000) and H at (0.0000, 0.0000, 0.5000).

The value obtained for the density of states at the Fermi level is 9.30 states/eV/cell. The uncorrected energy comes out at -5.915 eV/atom.